# Cs2BeSbBr6 | Alexandria via LeMat-Bulk | GGA-PBE | relaxed
# E_form (uncorrected)   -0.990 eV/atom
# Crystal system   tetragonal
# Electronic total energy   -58.99 eV per cell
data_Cs2BeSbBr6
_space_group_name_H-M_alt 'I 4/m m m'
_space_group_IT_number 139
_space_group_name_Hall '-I 4 2'
_cell_length_a 7.662
_cell_length_b 7.662
_cell_length_c 11.579
_cell_angle_alpha 90.00
_cell_angle_beta 90.00
_cell_angle_gamma 90.00
loop_
_atom_site_label
_atom_site_fract_x
_atom_site_fract_y
_atom_site_fract_z
Cs1 0.000 0.500 0.250
Be1 0.000 0.000 0.000
Sb1 0.000 0.000 0.500
Br1 0.000 0.000 0.257
Br2 0.221 0.221 0.000

---

# CsBe2SbBr8 | Alexandria via LeMat-Bulk | GGA-PBE | relaxed
# E_form (uncorrected)   -0.987 eV/atom
# Crystal system   trigonal
# Electronic total energy   -112.96 eV per cell
data_CsBe2SbBr8
_space_group_name_H-M_alt 'R -3'
_space_group_IT_number 148
_space_group_name_Hall '-R 3'
_cell_length_a 6.6347
_cell_length_b 6.6347
_cell_length_c 32.2831
_cell_angle_alpha 90.00
_cell_angle_beta 90.00
_cell_angle_gamma 120.00
loop_
_atom_site_label
_atom_site_fract_x
_atom_site_fract_y
_atom_site_fract_z
Cs1 0.0000 0.0000 0.0000
Be1 0.0000 0.0000 0.2418
Sb1 0.0000 0.0000 0.5000
Br1 0.0000 0.0000 0.3075
Br2 0.0057 0.6842 0.7806

---

# CsScBe2Br8 | Alexandria via LeMat-Bulk | GGA-PBE | relaxed
# E_form (uncorrected)   -1.347 eV/atom
# Crystal system   trigonal
# Electronic total energy   -132.55 eV per cell
data_CsScBe2Br8
_space_group_name_H-M_alt 'R -3'
_space_group_IT_number 148
_space_group_name_Hall '-R 3'
_cell_length_a 6.5519
_cell_length_b 6.5519
_cell_length_c 31.4680
_cell_angle_alpha 90.00
_cell_angle_beta 90.00
_cell_angle_gamma 120.00
loop_
_atom_site_label
_atom_site_fract_x
_atom_site_fract_y
_atom_site_fract_z
Cs1 0.0000 0.0000 0.0000
Sc1 0.0000 0.0000 0.5000
Be1 0.0000 0.0000 0.2396
Br1 0.0000 0.0000 0.3071
Br2 0.0054 0.6560 0.8834

---

What is the electronic total energy in the first record?
-58.99 eV per cell

---

E_form (uncorrected) of number 1 (Cs2BeSbBr6)?
-0.990 eV/atom

---

Which of these has the lowest electronic total energy?
CsScBe2Br8

---

What is the formula in the third record?
CsScBe2Br8